1.
The following is a DFT calculation (PBE) of a geometry-optimized HgPdS2O8 structure.

Computed properties:
M_tot, μB/f.u.: 1.9
Space-group type: No. 155
Raw formation energy, meV/atom: -803
Fermi-level density of states, states/eV per cell: 2.2

abc: 8.046 8.046 8.046
angles: 35.10 35.10 35.10
Atoms (fractional coordinates):
1 Hg 0.000 0.000 0.000
2 Pd 0.500 0.500 0.500
3 S 0.252 0.252 0.252
4 S 0.748 0.748 0.748
5 O 0.065 0.481 0.758
6 O 0.242 0.519 0.935
7 O 0.319 0.319 0.319
8 O 0.481 0.758 0.065
9 O 0.519 0.935 0.242
10 O 0.681 0.681 0.681
11 O 0.758 0.065 0.481
12 O 0.935 0.242 0.519



2.
The following is a DFT calculation (PBE) of a geometry-optimized Hg2SbPd2O6 structure.

Computed properties:
M_tot, μB/f.u.: 0.0
Space-group type: No. 12
Raw formation energy, meV/atom: -562
Fermi-level density of states, states/eV per cell: 4.9

abc: 5.452 5.452 7.929
angles: 92.57 92.57 119.53
Atoms (fractional coordinates):
1 Hg 0.167 0.833 0.000
2 Hg 0.833 0.167 0.000
3 Sb 0.000 0.000 0.500
4 Pd 0.334 0.666 0.500
5 Pd 0.666 0.334 0.500
6 O 0.013 0.343 0.628
7 O 0.310 0.310 0.372
8 O 0.343 0.013 0.628
9 O 0.657 0.987 0.372
10 O 0.690 0.690 0.628
11 O 0.987 0.657 0.372



3.
The following is a DFT calculation (PBE) of a geometry-optimized HgPdSe2O8 structure.

Computed properties:
M_tot, μB/f.u.: 1.1
Space-group type: No. 148
Raw formation energy, meV/atom: -348
Fermi-level density of states, states/eV per cell: 6.2

abc: 8.497 8.497 8.497
angles: 34.31 34.31 34.31
Atoms (fractional coordinates):
1 Hg 0.000 0.000 0.000
2 Pd 0.500 0.500 0.500
3 Se 0.243 0.243 0.243
4 Se 0.757 0.757 0.757
5 O 0.104 0.774 0.458
6 O 0.226 0.542 0.896
7 O 0.313 0.313 0.313
8 O 0.458 0.104 0.774
9 O 0.542 0.896 0.226
10 O 0.687 0.687 0.687
11 O 0.774 0.458 0.104
12 O 0.896 0.226 0.542



4.
The following is a DFT calculation (PBE) of a geometry-optimized SiHgPd2O structure.

Computed properties:
M_tot, μB/f.u.: 0.0
Space-group type: No. 123
Raw formation energy, meV/atom: 646
Fermi-level density of states, states/eV per cell: 4.7

abc: 4.499 4.499 4.968
angles: 90.00 90.00 90.00
Atoms (fractional coordinates):
1 Si 0.000 0.000 0.000
2 Hg 0.000 0.000 0.500
3 Pd 0.000 0.500 0.000
4 Pd 0.500 0.000 0.000
5 O 0.500 0.500 0.500



5.
The following is a DFT calculation (PBE) of a geometry-optimized SnHgPdO4 structure.

Computed properties:
M_tot, μB/f.u.: 0.0
Space-group type: No. 74
Raw formation energy, meV/atom: -810
Fermi-level density of states, states/eV per cell: 2.8

abc: 6.906 6.906 6.906
angles: 128.52 125.19 78.52
Atoms (fractional coordinates):
1 Sn 0.000 0.000 0.000
2 Sn 0.500 0.000 0.500
3 Hg 0.412 0.662 0.750
4 Hg 0.588 0.338 0.250
5 Pd 0.000 0.000 0.500
6 Pd 0.000 0.500 0.000
7 O 0.161 0.201 0.960
8 O 0.258 0.799 0.460
9 O 0.265 0.242 0.477
10 O 0.265 0.789 0.023
11 O 0.735 0.211 0.977
12 O 0.735 0.758 0.523
13 O 0.742 0.201 0.540
14 O 0.839 0.799 0.040



6.
The following is a DFT calculation (PBE) of a geometry-optimized Sr2Hg2PdO6 structure.

Computed properties:
M_tot, μB/f.u.: 0.0
Space-group type: No. 166
Raw formation energy, meV/atom: -1023

abc: 6.539 6.539 6.539
angles: 57.69 57.69 57.69
Atoms (fractional coordinates):
1 Sr 0.201 0.201 0.201
2 Sr 0.799 0.799 0.799
3 Hg 0.399 0.399 0.399
4 Hg 0.601 0.601 0.601
5 Pd 0.000 0.000 0.000
6 O 0.194 0.777 0.777
7 O 0.223 0.223 0.806
8 O 0.223 0.806 0.223
9 O 0.777 0.194 0.777
10 O 0.777 0.777 0.194
11 O 0.806 0.223 0.223



7.
The following is a DFT calculation (PBE) of a geometry-optimized Tc2HgPdO8 structure.

Computed properties:
M_tot, μB/f.u.: 0.5
Space-group type: No. 119
Raw formation energy, meV/atom: -867
Fermi-level density of states, states/eV per cell: 6.7

abc: 6.341 6.341 6.341
angles: 111.83 111.83 104.86
Atoms (fractional coordinates):
1 Tc 0.000 0.000 0.000
2 Tc 0.750 0.250 0.500
3 Hg 0.250 0.750 0.500
4 Pd 0.500 0.500 0.000
5 O 0.067 0.868 0.199
6 O 0.086 0.383 0.703
7 O 0.132 0.331 0.199
8 O 0.132 0.933 0.801
9 O 0.617 0.319 0.703
10 O 0.617 0.914 0.297
11 O 0.669 0.868 0.801
12 O 0.681 0.383 0.297



8.
The following is a DFT calculation (PBE) of a geometry-optimized TlHgPdO4 structure.

Computed properties:
M_tot, μB/f.u.: 0.0
Space-group type: No. 74
Raw formation energy, meV/atom: -428
Fermi-level density of states, states/eV per cell: 6.1

abc: 6.674 6.674 6.674
angles: 121.56 118.26 90.19
Atoms (fractional coordinates):
1 Tl 0.000 0.000 0.000
2 Tl 0.500 0.000 0.500
3 Hg 0.383 0.633 0.750
4 Hg 0.617 0.367 0.250
5 Pd 0.000 0.000 0.500
6 Pd 0.000 0.500 0.000
7 O 0.195 0.247 0.948
8 O 0.201 0.753 0.448
9 O 0.218 0.201 0.483
10 O 0.218 0.735 0.017
11 O 0.782 0.265 0.983
12 O 0.782 0.799 0.517
13 O 0.799 0.247 0.552
14 O 0.805 0.753 0.052



E_tot across the listed records, respectively: -63.05, -51.04, -56.31, -17.84, -70.00, -50.16, -76.30, -61.38 eV per cell.